Record 1
Material: K7Hg5
Method: DFT, PBE-GGA
State: relaxed

Computed properties:
energy of formation: -0.190 eV/atom
raw total energy: -11.47 eV/cell

```
data_K7Hg5
_symmetry_space_group_name_H-M 'P 1'
_symmetry_Int_Tables_number 1
_cell_length_a 8.9059
_cell_length_b 9.0126
_cell_length_c 9.0126
_cell_angle_alpha 75.77
_cell_angle_beta 60.30
_cell_angle_gamma 60.30
loop_
_symmetry_equiv_pos_as_xyz
'x,y,z'
loop_
_atom_site_label
_atom_site_fract_x
_atom_site_fract_y
_atom_site_fract_z
Hg1 0.4074 0.8011 0.8011
Hg2 0.9981 0.2032 0.2032
Hg3 0.2034 0.7992 0.2023
Hg4 0.2034 0.2023 0.7992
Hg5 0.4827 0.0037 0.0037
K1 0.8758 0.0028 0.0028
K2 0.3071 0.9961 0.4426
K3 0.8441 0.5004 0.5004
K4 0.3071 0.4426 0.9961
K5 0.7504 0.9971 0.5646
K6 0.7504 0.5646 0.9971
K7 0.3564 0.4875 0.4875
```



Record 2
Material: KHg11
Method: DFT, PBE-GGA
State: relaxed

Computed properties:
energy relative to the lowest polymorph listed for this composition: 32.5 meV/atom
energy of formation: -0.066 eV/atom
raw total energy: -5.21 eV/cell

```
data_KHg11
_symmetry_space_group_name_H-M 'P 1'
_symmetry_Int_Tables_number 1
_cell_length_a 3.3357
_cell_length_b 10.8232
_cell_length_c 10.8232
_cell_angle_alpha 120.00
_cell_angle_beta 90.00
_cell_angle_gamma 90.00
loop_
_symmetry_equiv_pos_as_xyz
'x,y,z'
loop_
_atom_site_label
_atom_site_fract_x
_atom_site_fract_y
_atom_site_fract_z
Hg1 0.5000 0.3504 0.1752
Hg2 0.0000 0.3333 0.6667
Hg3 0.5000 0.8248 0.1752
Hg4 0.5000 0.8248 0.6496
Hg5 0.0000 0.5000 0.5000
Hg6 0.0000 0.0000 0.5000
Hg7 0.5000 0.6496 0.8248
Hg8 0.5000 0.1752 0.8248
Hg9 0.0000 0.6667 0.3333
Hg10 0.5000 0.1752 0.3504
Hg11 0.0000 0.5000 0.0000
K1 0.0000 0.0000 0.0000
```



Record 3
Material: K4Hg3
Method: DFT, PBE-GGA
State: relaxed

Computed properties:
energy relative to the lowest polymorph listed for this composition: 0.0 meV/atom
energy of formation: -0.205 eV/atom
raw total energy: -20.20 eV/cell

```
data_K4Hg3
_symmetry_space_group_name_H-M 'P 1'
_symmetry_Int_Tables_number 1
_cell_length_a 4.9756
_cell_length_b 14.4903
_cell_length_c 14.4903
_cell_angle_alpha 120.00
_cell_angle_beta 90.00
_cell_angle_gamma 90.00
loop_
_symmetry_equiv_pos_as_xyz
'x,y,z'
loop_
_atom_site_label
_atom_site_fract_x
_atom_site_fract_y
_atom_site_fract_z
K1 0.7575 0.2387 0.2330
K2 0.7492 0.5153 0.1332
K3 0.2425 0.2330 0.9943
K4 0.7492 0.6179 0.4847
K5 0.7575 0.7670 0.0057
K6 0.2508 0.1332 0.6180
K7 0.7575 0.9943 0.7613
K8 0.2508 0.4847 0.8668
K9 0.7492 0.8668 0.3820
K10 0.2425 0.0057 0.2387
K11 0.2508 0.3821 0.5153
K12 0.2425 0.7613 0.7670
Hg1 0.2541 0.7205 0.1549
Hg2 0.7459 0.2795 0.8451
Hg3 0.5000 0.0000 0.0000
Hg4 0.7459 0.5656 0.7205
Hg5 0.2541 0.8451 0.5656
Hg6 0.7546 0.3333 0.6667
Hg7 0.2454 0.6667 0.3333
Hg8 0.7459 0.1549 0.4344
Hg9 0.2541 0.4344 0.2795
```



Record 4
Material: K6Hg5
Method: DFT, PBE-GGA
State: relaxed

Computed properties:
energy of formation: -0.197 eV/atom
raw total energy: -10.26 eV/cell

```
data_K6Hg5
_symmetry_space_group_name_H-M 'P 1'
_symmetry_Int_Tables_number 1
_cell_length_a 5.9192
_cell_length_b 8.5121
_cell_length_c 10.3041
_cell_angle_alpha 114.40
_cell_angle_beta 106.67
_cell_angle_gamma 90.00
loop_
_symmetry_equiv_pos_as_xyz
'x,y,z'
loop_
_atom_site_label
_atom_site_fract_x
_atom_site_fract_y
_atom_site_fract_z
Hg1 0.3326 0.3326 0.6653
Hg2 0.3237 0.8238 0.6476
Hg3 0.6763 0.1762 0.3524
Hg4 0.6674 0.6674 0.3347
Hg5 0.0000 0.5000 0.0000
K1 0.1637 0.9173 0.3276
K2 0.8362 0.5897 0.6724
K3 0.8363 0.0827 0.6724
K4 0.5000 0.2448 0.0000
K5 0.5000 0.7552 0.0000
K6 0.1638 0.4103 0.3276
```



Record 5
Material: KHg6
Method: DFT, PBE-GGA
State: relaxed

Computed properties:
energy relative to the lowest polymorph listed for this composition: 256.6 meV/atom
energy of formation: 0.102 eV/atom
raw total energy: -2.20 eV/cell

```
data_KHg6
_symmetry_space_group_name_H-M 'P 1'
_symmetry_Int_Tables_number 1
_cell_length_a 7.4775
_cell_length_b 7.4775
_cell_length_c 7.4775
_cell_angle_alpha 90.00
_cell_angle_beta 90.00
_cell_angle_gamma 90.00
loop_
_symmetry_equiv_pos_as_xyz
'x,y,z'
loop_
_atom_site_label
_atom_site_fract_x
_atom_site_fract_y
_atom_site_fract_z
Hg1 0.5000 0.5000 0.8032
Hg2 0.5000 0.1968 0.5000
Hg3 0.5000 0.5000 0.1968
Hg4 0.1968 0.5000 0.5000
Hg5 0.5000 0.8032 0.5000
Hg6 0.8032 0.5000 0.5000
K1 0.0000 0.0000 0.0000
```



Record 6
Material: K3Hg13
Method: DFT, PBE-GGA
State: relaxed

Computed properties:
energy of formation: -0.169 eV/atom
raw total energy: -9.92 eV/cell

```
data_K3Hg13
_symmetry_space_group_name_H-M 'P 1'
_symmetry_Int_Tables_number 1
_cell_length_a 7.0459
_cell_length_b 7.0459
_cell_length_c 10.9913
_cell_angle_alpha 90.00
_cell_angle_beta 90.00
_cell_angle_gamma 117.21
loop_
_symmetry_equiv_pos_as_xyz
'x,y,z'
loop_
_atom_site_label
_atom_site_fract_x
_atom_site_fract_y
_atom_site_fract_z
Hg1 0.8098 0.1902 0.5000
Hg2 0.3213 0.2574 0.5000
Hg3 0.5142 0.9767 0.2602
Hg4 0.7426 0.6787 0.5000
Hg5 0.6587 0.7979 0.0000
Hg6 0.2478 0.7522 0.5000
Hg7 0.5108 0.4892 0.7525
Hg8 0.5142 0.9767 0.7398
Hg9 0.0233 0.4858 0.7398
Hg10 0.1956 0.8044 0.0000
Hg11 0.0233 0.4858 0.2602
Hg12 0.5108 0.4892 0.2475
Hg13 0.2021 0.3413 0.0000
K1 0.6917 0.3083 0.0000
K2 0.0168 0.9832 0.2497
K3 0.0168 0.9832 0.7503
```